[1]
First-principles (GGA-PBEsol) data for a relaxed TlBF4 crystal, as listed in Alexandria via LeMat-Bulk.

Structure (POSCAR):
```
TlBF4
1.0
9.059 0.000 0.000
0.000 5.549 0.000
0.000 0.000 7.257
Tl B F
4 4 16
direct
0.186 0.250 0.163
0.314 0.750 0.663
0.686 0.250 0.337
0.814 0.750 0.837
0.062 0.250 0.692
0.438 0.750 0.192
0.562 0.250 0.808
0.938 0.750 0.308
0.077 0.042 0.806
0.077 0.458 0.806
0.077 0.750 0.391
0.176 0.250 0.560
0.324 0.750 0.060
0.423 0.250 0.891
0.423 0.542 0.306
0.423 0.958 0.306
0.577 0.042 0.694
0.577 0.458 0.694
0.577 0.750 0.109
0.676 0.250 0.940
0.824 0.750 0.440
0.923 0.250 0.609
0.923 0.542 0.194
0.923 0.958 0.194
```

Calculated values
formation energy (no corrections)	-2.6265	eV/atom

***

[2]
First-principles (GGA-PBEsol) data for a relaxed Cs2TcOsSe crystal, as listed in Alexandria via LeMat-Bulk.

Structure (POSCAR):
```
Cs2TcOsSe
1.0
6.741 0.000 0.000
0.000 6.741 0.000
0.000 0.000 4.592
Cs Tc Os Se
2 1 1 1
direct
0.000 0.500 0.000
0.500 0.000 0.000
0.000 0.000 0.500
0.500 0.500 0.500
0.000 0.000 0.000
```

Calculated values
formation energy (no corrections)	1.7039	eV/atom

***

[3]
First-principles (GGA-PBEsol) data for a relaxed CsGa2P2 crystal, as listed in Alexandria via LeMat-Bulk.

Structure (POSCAR):
```
CsGa2P2
1.0
-2.124 2.124 6.911
2.124 -2.124 6.911
2.124 2.124 -6.911
Cs Ga P
1 2 2
direct
0.000 0.000 0.000
0.250 0.750 0.500
0.750 0.250 0.500
0.342 0.342 0.000
0.658 0.658 0.000
```

Calculated values
DFT formation energy	-0.3646	eV/atom

***

[4]
First-principles (GGA-PBEsol) data for a relaxed PrCd20Pd2 crystal, as listed in Alexandria via LeMat-Bulk.

Structure (POSCAR):
```
PrCd20Pd2
1.0
0.000 7.767 7.767
7.767 0.000 7.767
7.767 7.767 0.000
Pr Cd Pd
2 40 4
direct
0.125 0.125 0.125
0.875 0.875 0.875
0.000 0.000 0.000
0.000 0.000 0.500
0.000 0.500 0.000
0.056 0.323 0.323
0.056 0.323 0.797
0.056 0.797 0.323
0.203 0.677 0.677
0.203 0.677 0.944
0.203 0.944 0.677
0.238 0.238 0.512
0.238 0.512 0.238
0.238 0.512 0.512
0.323 0.056 0.323
0.323 0.056 0.797
0.323 0.323 0.056
0.323 0.323 0.797
0.323 0.797 0.056
0.323 0.797 0.323
0.488 0.488 0.762
0.488 0.762 0.488
0.488 0.762 0.762
0.500 0.000 0.000
0.512 0.238 0.238
0.512 0.238 0.512
0.512 0.512 0.238
0.677 0.203 0.677
0.677 0.203 0.944
0.677 0.677 0.203
0.677 0.677 0.944
0.677 0.944 0.203
0.677 0.944 0.677
0.762 0.488 0.488
0.762 0.488 0.762
0.762 0.762 0.488
0.797 0.056 0.323
0.797 0.323 0.056
0.797 0.323 0.323
0.944 0.203 0.677
0.944 0.677 0.203
0.944 0.677 0.677
0.000 0.500 0.500
0.500 0.000 0.500
0.500 0.500 0.000
0.500 0.500 0.500
```

Calculated values
DFT formation energy	-0.2062	eV/atom